Entry i
This record from Alexandria describes P2SeO after structural relaxation. The functional is PBE-GGA.

a = 4.2858 Å, b = 4.2858 Å, c = 4.2858 Å
α = 60.00°, β = 60.00°, γ = 60.00°
Fractional positions:
P1 0.2500 0.2500 0.2500
P2 0.7500 0.7500 0.7500
Se1 0.5000 0.5000 0.5000
O1 0.0000 0.0000 0.0000

Crystal system: cubic

Entry ii
This record from Alexandria describes P2SeO after structural relaxation. The functional is PBE-GGA.

a = 4.4405 Å, b = 4.4405 Å, c = 7.4007 Å
α = 72.54°, β = 72.54°, γ = 90.00°
Fractional positions:
P1 0.8750 0.7389 0.7500
P2 0.2611 0.6250 0.2500
P3 0.4889 0.1250 0.2500
P4 0.3750 0.5111 0.7500
Se1 0.7500 0.2500 0.5000
Se2 0.0000 0.0000 0.0000
O1 0.2500 0.7500 0.5000
O2 0.5000 0.5000 0.0000

Crystal system: tetragonal

Stability summary: most stable entry ii, least stable entry i.

Entry i
This record from Alexandria describes SiPSeO2 after structural relaxation. The functional is PBE-GGA.

a = 3.7785 Å, b = 3.7785 Å, c = 4.9781 Å
α = 90.00°, β = 90.00°, γ = 90.00°
Fractional positions:
O1 0.0000 0.5000 0.0000
O2 0.5000 0.0000 0.0000
P1 0.0000 0.0000 0.5000
Se1 0.0000 0.0000 0.0000
Si1 0.5000 0.5000 0.5000

Crystal system: tetragonal

Entry ii
This record from Alexandria describes SiPSeO2 after structural relaxation. The functional is PBE-GGA.

a = 3.4050 Å, b = 3.4050 Å, c = 6.0993 Å
α = 90.00°, β = 90.00°, γ = 90.00°
Fractional positions:
O1 0.0000 0.5000 0.0000
O2 0.5000 0.0000 0.0000
Se1 0.5000 0.5000 0.5000
Si1 0.0000 0.0000 0.0000
P1 0.0000 0.0000 0.5000

Crystal system: tetragonal

Stability summary: most stable entry ii, least stable entry i.

Entry i
This record from Alexandria describes SnP2SeO after structural relaxation. The functional is PBE-GGA.

a = 5.1537 Å, b = 5.1537 Å, c = 3.8910 Å
α = 90.00°, β = 90.00°, γ = 90.00°
Fractional positions:
Se1 0.5000 0.5000 0.5000
P1 0.5000 0.0000 0.0000
P2 0.0000 0.5000 0.0000
O1 0.0000 0.0000 0.5000
Sn1 0.0000 0.0000 0.0000

Crystal system: tetragonal

Entry ii
This record from Alexandria describes SnP2SeO after structural relaxation. The functional is PBE-GGA.

a = 4.9163 Å, b = 4.9163 Å, c = 3.7894 Å
α = 90.00°, β = 90.00°, γ = 90.00°
Fractional positions:
Se1 0.0000 0.0000 0.0000
P1 0.5000 0.0000 0.0000
P2 0.0000 0.5000 0.0000
O1 0.0000 0.0000 0.5000
Sn1 0.5000 0.5000 0.5000

Crystal system: tetragonal

Stability summary: most stable entry ii, least stable entry i.

Entry i
This record from Alexandria describes TaP2SeO after structural relaxation. The functional is PBE-GGA.

a = 4.7126 Å, b = 4.7126 Å, c = 3.6493 Å
α = 90.00°, β = 90.00°, γ = 90.00°
Fractional positions:
Ta1 0.5000 0.5000 0.5000
Se1 0.0000 0.0000 0.0000
P1 0.0000 0.5000 0.0000
P2 0.5000 0.0000 0.0000
O1 0.0000 0.0000 0.5000

Crystal system: tetragonal

Entry ii
This record from Alexandria describes TaP2SeO after structural relaxation. The functional is PBE-GGA.

a = 4.9705 Å, b = 4.9705 Å, c = 3.8411 Å
α = 90.00°, β = 90.00°, γ = 90.00°
Fractional positions:
O1 0.0000 0.0000 0.5000
P1 0.5000 0.0000 0.0000
P2 0.0000 0.5000 0.0000
Ta1 0.0000 0.0000 0.0000
Se1 0.5000 0.5000 0.5000

Crystal system: tetragonal

Stability summary: most stable entry ii, least stable entry i.

Entry i
This record from Alexandria describes TcP2SeO after structural relaxation. The functional is PBE-GGA.

a = 4.7645 Å, b = 4.7645 Å, c = 3.7180 Å
α = 90.00°, β = 90.00°, γ = 90.00°
Fractional positions:
P1 0.5000 0.0000 0.0000
P2 0.0000 0.5000 0.0000
Se1 0.5000 0.5000 0.5000
Tc1 0.0000 0.0000 0.0000
O1 0.0000 0.0000 0.5000

Crystal system: tetragonal

Entry ii
This record from Alexandria describes TcP2SeO after structural relaxation. The functional is PBE-GGA.

a = 4.7666 Å, b = 4.7666 Å, c = 3.6358 Å
α = 90.00°, β = 90.00°, γ = 90.00°
Fractional positions:
Tc1 0.5000 0.5000 0.5000
O1 0.0000 0.0000 0.5000
P1 0.0000 0.5000 0.0000
P2 0.5000 0.0000 0.0000
Se1 0.0000 0.0000 0.0000

Crystal system: tetragonal

Stability summary: most stable entry i, least stable entry ii.

Entry i
This record from Alexandria describes TeP2SeO after structural relaxation. The functional is PBE-GGA.

a = 4.6071 Å, b = 4.6071 Å, c = 5.7055 Å
α = 90.00°, β = 90.00°, γ = 90.00°
Fractional positions:
Se1 0.0000 0.0000 0.0000
P1 0.0000 0.5000 0.0000
P2 0.5000 0.0000 0.0000
O1 0.5000 0.5000 0.5000
Te1 0.0000 0.0000 0.5000

Crystal system: tetragonal

Entry ii
This record from Alexandria describes TeP2SeO after structural relaxation. The functional is PBE-GGA.

a = 5.1565 Å, b = 5.1565 Å, c = 3.9258 Å
α = 90.00°, β = 90.00°, γ = 90.00°
Fractional positions:
P1 0.0000 0.5000 0.0000
P2 0.5000 0.0000 0.0000
Se1 0.5000 0.5000 0.5000
Te1 0.0000 0.0000 0.0000
O1 0.0000 0.0000 0.5000

Crystal system: tetragonal

Entry iii
This record from Alexandria describes TeP2SeO after structural relaxation. The functional is PBE-GGA.

a = 4.9263 Å, b = 4.9263 Å, c = 3.7811 Å
α = 90.00°, β = 90.00°, γ = 90.00°
Fractional positions:
P1 0.5000 0.0000 0.0000
P2 0.0000 0.5000 0.0000
Te1 0.5000 0.5000 0.5000
Se1 0.0000 0.0000 0.0000
O1 0.0000 0.0000 0.5000

Crystal system: tetragonal

Stability summary: most stable entry iii, least stable entry i.